(1)
## Tb7Th5 (GGA-PBE)

Data for a relaxed structure of Tb7Th5.

Structure (POSCAR):
```
Tb7Th5
1.0
-2.863 -0.673 -2.087
-3.136 -8.119 3.804
-8.687 3.036 7.820
Tb Th
7 5
direct
0.639 0.971 0.751
0.361 0.029 0.249
0.028 0.695 0.250
0.972 0.305 0.750
0.335 0.332 0.998
0.500 0.500 0.500
0.665 0.668 0.002
0.831 0.837 0.501
0.169 0.163 0.499
0.695 0.355 0.254
0.305 0.645 0.746
0.000 0.000 0.000
```

crystal system = monoclinic
energy relative to the elements = 0.861 kcal/mol of atoms
size of the total moment = 0.00 μB/cell

(2)
## SrEuPb2 (GGA-PBE)

Data for a relaxed structure of SrEuPb2.

Structure (POSCAR):
```
SrEuPb2
1.0
5.789 -0.003 -0.006
-2.897 4.955 0.051
-0.007 3.335 4.733
Pb Eu Sr
2 1 1
direct
0.000 0.000 0.000
0.500 0.000 0.500
0.750 0.500 0.750
0.250 0.500 0.250
```

crystal system = orthorhombic
energy relative to the elements = -11.840 kcal/mol of atoms
size of the total moment = 7.02 μB/cell

(3)
## As2IrSBr (GGA-PBE)

Data for a relaxed structure of As2IrSBr.

Structure (POSCAR):
```
As2IrSBr
1.0
4.796 0.000 0.000
0.000 4.796 0.000
0.000 0.000 4.637
As Ir S Br
2 1 1 1
direct
0.000 0.500 0.000
0.500 0.000 0.000
0.500 0.500 0.500
0.000 0.000 0.000
0.000 0.000 0.500
```

crystal system = tetragonal
energy above the lowest structure with this stoichiometry = 0.648 eV/atom
uncorrected formation energy = 1362 meV/atom
size of the total moment = 0.45 μB/cell

(4)
## Na2HgAs2Pd5 (GGA-PBE)

Data for a relaxed structure of Na2HgAs2Pd5.

Structure (POSCAR):
```
Na2HgAs2Pd5
1.0
3.481 0.000 0.000
0.000 10.264 0.000
0.000 0.000 10.264
Na Hg As Pd
4 2 4 10
direct
0.000 0.673 0.173
0.000 0.327 0.827
0.000 0.173 0.327
0.000 0.827 0.673
0.000 0.000 0.000
0.000 0.500 0.500
0.000 0.129 0.629
0.000 0.871 0.371
0.000 0.629 0.871
0.000 0.371 0.129
0.500 0.208 0.065
0.500 0.792 0.935
0.500 0.065 0.792
0.500 0.708 0.435
0.500 0.935 0.208
0.500 0.292 0.565
0.500 0.565 0.708
0.500 0.435 0.292
0.500 0.500 0.000
0.500 0.000 0.500
```

crystal system = tetragonal
energy relative to the elements = -8.036 kcal/mol of atoms
size of the total moment = 0.00 μB/cell